Entry 1:
A plane-wave DFT calculation with PBE-GGA was carried out for a geometry-optimized IrOsCl3 structure.

Properties
As for the crystal system: cubic. As for the uncorrected energy: -3.778 eV per atom. For the formation energy without anion corrections, the calculation gives 1349 meV per atom. Its energy above the lowest structure with this stoichiometry is 0.0 meV per atom.

The structure in CIF format:
```
data_IrOsCl3
_chemical_formula_sum 'Ir1 Os1 Cl3'
_cell_length_a 4.823
_cell_length_b 4.823
_cell_length_c 4.823
_cell_angle_alpha 90.00
_cell_angle_beta 90.00
_cell_angle_gamma 90.00
_symmetry_space_group_name_H-M 'P m -3 m'
_symmetry_Int_Tables_number 221
_symmetry_space_group_name_Hall '-P 4 2 3'
loop_
_atom_site_label
_atom_site_type_symbol
_atom_site_fract_x
_atom_site_fract_y
_atom_site_fract_z
Ir1 Ir 0.000 0.000 0.000
Os1 Os 0.500 0.500 0.500
Cl1 Cl 0.000 0.000 0.500
```

Entry 2:
A plane-wave DFT calculation with PBE-GGA was carried out for a geometry-optimized PmSn2Au8 structure.

Properties
As for the crystal system: monoclinic. As for the uncorrected energy: -3.823 eV per atom.

The structure in CIF format:
```
data_PmSn2Au8
_chemical_formula_sum 'Pm2 Sn4 Au16'
_cell_length_a 18.647
_cell_length_b 5.568
_cell_length_c 4.762
_cell_angle_alpha 90.00
_cell_angle_beta 103.90
_cell_angle_gamma 90.00
_symmetry_space_group_name_H-M 'C 1 2/m 1'
_symmetry_Int_Tables_number 12
loop_
_symmetry_equiv_pos_as_xyz
'x,y,z'
'-x,-y,-z'
'-x,y,-z'
'x,-y,z'
'x+1/2,y+1/2,z'
'-x+1/2,-y+1/2,-z'
'-x+1/2,y+1/2,-z'
'x+1/2,-y+1/2,z'
loop_
_atom_site_label
_atom_site_type_symbol
_atom_site_fract_x
_atom_site_fract_y
_atom_site_fract_z
Pm1 Pm 0.000 0.000 0.000
Sn1 Sn 0.238 0.500 0.238
Au1 Au 0.080 0.500 0.077
Au2 Au 0.094 0.244 0.592
Au3 Au 0.176 0.000 0.178
```

Entry 3:
A plane-wave DFT calculation with PBE-GGA was carried out for a geometry-optimized Nd12CdIn6 structure.

Properties
As for the crystal system: trigonal. As for the uncorrected energy: -4.063 eV per atom.

The structure in CIF format:
```
data_Nd12CdIn6
_chemical_formula_sum 'Nd36 Cd3 In18'
_cell_length_a 14.5243
_cell_length_b 14.5243
_cell_length_c 10.0126
_cell_angle_alpha 90.00
_cell_angle_beta 90.00
_cell_angle_gamma 120.00
_symmetry_space_group_name_H-M 'R -3'
_symmetry_Int_Tables_number 148
_symmetry_space_group_name_Hall '-R 3'
loop_
_atom_site_label
_atom_site_type_symbol
_atom_site_fract_x
_atom_site_fract_y
_atom_site_fract_z
Nd1 Nd 0.0528 0.7980 0.4086
Nd2 Nd 0.0552 0.8572 0.7598
Cd1 Cd 0.0000 0.0000 0.5000
In1 In 0.0648 0.8270 0.0769
```

Entry 4:
A plane-wave DFT calculation with PBE-GGA was carried out for a geometry-optimized La3RuI structure.

Properties
As for the crystal system: cubic. As for the uncorrected energy: -5.500 eV per atom. For the formation energy without anion corrections, the calculation gives -378 meV per atom. Its energy above the lowest structure with this stoichiometry is 172.8 meV per atom.

The structure in CIF format:
```
data_La3RuI
_chemical_formula_sum 'La3 Ru1 I1'
_cell_length_a 5.573
_cell_length_b 5.573
_cell_length_c 5.573
_cell_angle_alpha 90.00
_cell_angle_beta 90.00
_cell_angle_gamma 90.00
_symmetry_space_group_name_H-M 'P m -3 m'
_symmetry_Int_Tables_number 221
_symmetry_space_group_name_Hall '-P 4 2 3'
loop_
_atom_site_label
_atom_site_type_symbol
_atom_site_fract_x
_atom_site_fract_y
_atom_site_fract_z
La1 La 0.000 0.000 0.500
Ru1 Ru 0.000 0.000 0.000
I1 I 0.500 0.500 0.500
```

Entry 5:
A plane-wave DFT calculation with PBE-GGA was carried out for a geometry-optimized Sn3BIr structure.

Properties
As for the crystal system: cubic. As for the uncorrected energy: -4.650 eV per atom. Its energy above the lowest structure with this stoichiometry is 0.0 meV per atom.

The structure in CIF format:
```
data_Sn3BIr
_chemical_formula_sum 'Sn3 B1 Ir1'
_cell_length_a 4.662
_cell_length_b 4.662
_cell_length_c 4.662
_cell_angle_alpha 90.00
_cell_angle_beta 90.00
_cell_angle_gamma 90.00
_symmetry_space_group_name_H-M 'P m -3 m'
_symmetry_Int_Tables_number 221
_symmetry_space_group_name_Hall '-P 4 2 3'
loop_
_atom_site_label
_atom_site_type_symbol
_atom_site_fract_x
_atom_site_fract_y
_atom_site_fract_z
Sn1 Sn 0.000 0.000 0.500
B1 B 0.000 0.000 0.000
Ir1 Ir 0.500 0.500 0.500
```

Entry 6:
A plane-wave DFT calculation with PBE-GGA was carried out for a geometry-optimized Na3Sm2PaTe6 structure.

Properties
As for the crystal system: monoclinic. As for the uncorrected energy: -4.632 eV per atom. For the formation energy without anion corrections, the calculation gives -1153 meV per atom.

The structure in CIF format:
```
data_Na3Sm2PaTe6
_chemical_formula_sum 'Na6 Sm4 Pa2 Te12'
_cell_length_a 7.705
_cell_length_b 13.344
_cell_length_c 8.059
_cell_angle_alpha 90.00
_cell_angle_beta 108.58
_cell_angle_gamma 90.00
_symmetry_space_group_name_H-M 'C 1 2/m 1'
_symmetry_Int_Tables_number 12
loop_
_symmetry_equiv_pos_as_xyz
'x,y,z'
'-x,-y,-z'
'-x,y,-z'
'x,-y,z'
'x+1/2,y+1/2,z'
'-x+1/2,-y+1/2,-z'
'-x+1/2,y+1/2,-z'
'x+1/2,-y+1/2,z'
loop_
_atom_site_label
_atom_site_type_symbol
_atom_site_fract_x
_atom_site_fract_y
_atom_site_fract_z
Na1 Na 0.000 0.000 0.000
Na2 Na 0.000 0.331 0.000
Sm1 Sm 0.000 0.166 0.500
Pa1 Pa 0.000 0.500 0.500
Te1 Te 0.244 0.335 0.738
Te2 Te 0.249 0.500 0.262
```

Entry 7:
A plane-wave DFT calculation with PBE-GGA was carried out for a geometry-optimized ZnPBr2 structure.

Properties
As for the crystal system: orthorhombic. As for the uncorrected energy: -2.444 eV per atom. For the formation energy without anion corrections, the calculation gives 64 meV per atom. Its energy above the lowest structure with this stoichiometry is 330.6 meV per atom.

The structure in CIF format:
```
data_ZnPBr2
_chemical_formula_sum 'Zn2 P2 Br4'
_cell_length_a 3.495
_cell_length_b 7.029
_cell_length_c 9.104
_cell_angle_alpha 90.00
_cell_angle_beta 90.00
_cell_angle_gamma 90.00
_symmetry_space_group_name_H-M 'C m m 2'
_symmetry_Int_Tables_number 35
loop_
_symmetry_equiv_pos_as_xyz
'x,y,z'
'-x,-y,z'
'-x,y,z'
'x,-y,z'
'x+1/2,y+1/2,z'
'-x+1/2,-y+1/2,z'
'-x+1/2,y+1/2,z'
'x+1/2,-y+1/2,z'
loop_
_atom_site_label
_atom_site_type_symbol
_atom_site_fract_x
_atom_site_fract_y
_atom_site_fract_z
Zn1 Zn 0.000 0.000 0.000
P1 P 0.000 0.500 0.813
Br1 Br 0.000 0.000 0.608
Br2 Br 0.000 0.500 0.191
```

Entry 8:
A plane-wave DFT calculation with PBE-GGA was carried out for a geometry-optimized MnAs structure.

Properties
As for the crystal system: hexagonal. As for the uncorrected energy: -6.907 eV per atom.

The structure in CIF format:
```
data_MnAs
_chemical_formula_sum 'Mn2 As2'
_cell_length_a 4.3591
_cell_length_b 4.3591
_cell_length_c 5.0545
_cell_angle_alpha 90.00
_cell_angle_beta 90.00
_cell_angle_gamma 120.00
_symmetry_space_group_name_H-M 'P 63/m m c'
_symmetry_Int_Tables_number 194
_symmetry_space_group_name_Hall '-P 6c 2c'
loop_
_atom_site_label
_atom_site_type_symbol
_atom_site_fract_x
_atom_site_fract_y
_atom_site_fract_z
Mn1 Mn 0.3333 0.6667 0.2500
As1 As 0.3333 0.6667 0.7500
```

Entry 9:
A plane-wave DFT calculation with PBE-GGA was carried out for a geometry-optimized PaIn2SnO8 structure.

Properties
As for the crystal system: orthorhombic. As for the uncorrected energy: -6.870 eV per atom. For the formation energy without anion corrections, the calculation gives -1984 meV per atom.

The structure in CIF format:
```
data_PaIn2SnO8
_chemical_formula_sum 'Pa2 In4 Sn2 O16'
_cell_length_a 6.976
_cell_length_b 7.077
_cell_length_c 6.788
_cell_angle_alpha 90.00
_cell_angle_beta 90.00
_cell_angle_gamma 90.00
_symmetry_space_group_name_H-M 'C m m m'
_symmetry_Int_Tables_number 65
_symmetry_space_group_name_Hall '-C 2 2'
loop_
_atom_site_label
_atom_site_type_symbol
_atom_site_fract_x
_atom_site_fract_y
_atom_site_fract_z
Pa1 Pa 0.000 0.000 0.000
In1 In 0.000 0.500 0.257
Sn1 Sn 0.000 0.000 0.500
O1 O 0.000 0.190 0.259
O2 O 0.195 0.500 0.000
O3 O 0.204 0.500 0.500
```